This record from Alexandria describes Sc3Se after structural relaxation. The functional is PBE-GGA.

abc: 11.1813 11.1813 5.4413
angles: 90.00 90.00 90.00
Space group I-4 (No. 82)
One atom of each set of equivalent atoms:
Sc  0.0323  0.3622  0.4755 [8 per cell]
Sc  0.0835  0.8931  0.2629 [8 per cell]
Sc  0.1771  0.7850  0.7558 [8 per cell]
Se  0.0451  0.3008  0.9695 [8 per cell]

Properties
E, eV per atom: -6.375